Entry 1:
# CdH2SeO5

A geometry-optimized CdH2SeO5 structure (GGA-PBE, Alexandria).

Calculated values
- E_tot: -0.181 Ha/atom
- Crystal system: monoclinic
- ρ: 4.064 Mg/m³

a = 7.7821 Å, b = 7.9863 Å, c = 8.5163 Å
α = 57.58°, β = 90.00°, γ = 90.00°
With the nearest neighbours (Å) after each atom.
Element x y z (fractional)
1 O 0.5993 0.7285 0.0356  2 H 1.00
2 O 0.8021 0.4538 0.9840  1 Se 1.66
3 O 0.4835 0.1211 0.6643  1 Se 1.67
4 O 0.2735 0.8934 0.9927  1 Se 1.69, 1 H 1.80
5 O 0.4007 0.2715 0.9644  2 H 1.00
6 O 0.3021 0.5462 0.5160  1 Se 1.66
7 O 0.9923 0.3464 0.7828  1 Se 1.69, 1 H 1.72
8 O 0.4923 0.6536 0.7172  1 Se 1.69, 1 H 1.72
9 O 0.2265 0.8934 0.4927  1 Se 1.69, 1 H 1.80
10 O 0.7735 0.1066 0.5073  1 Se 1.69, 1 H 1.80
11 O 0.5077 0.3464 0.2828  1 Se 1.69, 1 H 1.72
12 O 0.6979 0.4538 0.4840  1 Se 1.66
13 O 0.9835 0.8789 0.8357  1 Se 1.67
14 O 0.0077 0.6536 0.2172  1 Se 1.69, 1 H 1.72
15 O 0.0993 0.2715 0.4644  2 H 1.00
16 O 0.5165 0.8789 0.3357  1 Se 1.67
17 O 0.1979 0.5462 0.0160  1 Se 1.66
18 O 0.0165 0.1211 0.1643  1 Se 1.67
19 O 0.7265 0.1066 0.0073  1 Se 1.69, 1 H 1.80
20 O 0.9007 0.7285 0.5356  2 H 1.00
21 H 0.5679 0.5844 0.1155  1 O 1.00
22 H 0.0132 0.7997 0.5070  1 O 1.00
23 H 0.4868 0.7997 0.0070  1 O 1.00
24 H 0.5132 0.2003 0.9930  1 O 1.00
25 H 0.9868 0.2003 0.4930  1 O 1.00
26 H 0.4321 0.4156 0.8845  1 O 1.00
27 H 0.0679 0.4156 0.3845  1 O 1.00
28 H 0.9321 0.5844 0.6155  1 O 1.00
29 Se 0.3855 0.7378 0.5153  4 O 1.66-1.69
30 Se 0.8855 0.2622 0.9847  4 O 1.66-1.69
31 Se 0.1145 0.7378 0.0153  4 O 1.66-1.69
32 Se 0.6145 0.2622 0.4847  4 O 1.66-1.69
33 Cd 0.2611 0.2165 0.2444  6 O 2.29-2.48
34 Cd 0.7389 0.7835 0.7556  6 O 2.29-2.48
35 Cd 0.7611 0.7835 0.2556  6 O 2.29-2.48
36 Cd 0.2389 0.2165 0.7444  6 O 2.29-2.48

---

Entry 2:
# CdH2SeO4

A geometry-optimized CdH2SeO4 structure (GGA-PBE, Alexandria).

Calculated values
- E_tot: -0.179 Ha/atom
- Crystal system: orthorhombic
- Excess energy over the best structure of this formula in the dataset: 0 meV per atom
- ρ: 3.887 Mg/m³

a = 5.0637 Å, b = 6.0501 Å, c = 14.3552 Å
α = 90.00°, β = 90.00°, γ = 90.00°
With the nearest neighbours (Å) after each atom.
Element x y z (fractional)
1 O 0.9001 0.7500 0.6130  2 H 0.99
2 O 0.4001 0.2500 0.8870  2 H 0.99
3 O 0.1774 0.4669 0.1651  1 Se 1.77, 1 H 1.91
4 O 0.3226 0.0331 0.6651  1 Se 1.77, 1 H 1.91
5 O 0.7104 0.2500 0.1410  1 Se 1.68
6 O 0.5999 0.7500 0.1130  2 H 0.99
7 O 0.0999 0.2500 0.3870  2 H 0.99
8 O 0.8226 0.5331 0.8349  1 Se 1.77, 1 H 1.91
9 O 0.2104 0.7500 0.3590  1 Se 1.68
10 O 0.8226 0.9669 0.8349  1 Se 1.77, 1 H 1.91
11 O 0.6774 0.9669 0.3349  1 Se 1.77, 1 H 1.91
12 O 0.7896 0.2500 0.6410  1 Se 1.68
13 O 0.2896 0.7500 0.8590  1 Se 1.68
14 O 0.1774 0.0331 0.1651  1 Se 1.77, 1 H 1.91
15 O 0.6774 0.5331 0.3349  1 Se 1.77, 1 H 1.91
16 O 0.3226 0.4669 0.6651  1 Se 1.77, 1 H 1.91
17 H 0.5187 0.1210 0.8794  1 O 0.99
18 H 0.5187 0.3790 0.8794  1 O 0.99
19 H 0.0187 0.6210 0.6206  1 O 0.99
20 H 0.0187 0.8790 0.6206  1 O 0.99
21 H 0.9813 0.1210 0.3794  1 O 0.99
22 H 0.4813 0.6210 0.1206  1 O 0.99
23 H 0.4813 0.8790 0.1206  1 O 0.99
24 H 0.9813 0.3790 0.3794  1 O 0.99
25 Cd 0.5667 0.7500 0.7271  6 O 2.29-2.41
26 Cd 0.4333 0.2500 0.2729  6 O 2.29-2.41
27 Cd 0.0667 0.2500 0.7729  6 O 2.29-2.41
28 Cd 0.9333 0.7500 0.2271  6 O 2.29-2.41
29 Se 0.9751 0.7500 0.8971  3 O 1.68-1.77
30 Se 0.0249 0.2500 0.1029  3 O 1.68-1.77
31 Se 0.5249 0.7500 0.3971  3 O 1.68-1.77
32 Se 0.4751 0.2500 0.6029  3 O 1.68-1.77

---

Entry 3:
# CdH2SeO4

A geometry-optimized CdH2SeO4 structure (GGA-PBE, Alexandria).

Calculated values
- E_tot: -0.165 Ha/atom
- Crystal system: orthorhombic
- Excess energy over the best structure of this formula in the dataset: 394 meV per atom
- ρ: 4.400 Mg/m³

a = 4.7572 Å, b = 5.1075 Å, c = 5.1075 Å
α = 78.89°, β = 62.24°, γ = 62.24°
With the nearest neighbours (Å) after each atom.
Element x y z (fractional)
1 H 0.7928 0.7072 0.7072  2 O 1.22
2 H 0.2072 0.2928 0.2928  2 O 1.22
3 O 0.4488 0.2018 0.3625  1 H 1.22
4 O 0.5512 0.6375 0.7982  1 H 1.22
5 O 0.9868 0.3625 0.2018  1 H 1.22
6 O 0.0132 0.7982 0.6375  1 H 1.22
7 Cd 0.0000 0.0000 0.0000  4 O 2.25
8 Se 0.5000 0.5000 0.5000  4 O 1.95

---

Entry 4:
# SrCdHO2

A geometry-optimized SrCdHO2 structure (GGA-PBE, Alexandria).

Calculated values
- E_tot: -0.122 Ha/atom
- Crystal system: tetragonal
- ρ: 3.705 Mg/m³

a = 4.0962 Å, b = 6.2255 Å, c = 4.0962 Å
α = 90.00°, β = 90.00°, γ = 90.00°
With the nearest neighbours (Å) after each atom.
Element x y z (fractional)
1 H 0.5000 0.5000 0.5000  4 Sr 2.90
2 Sr 0.0000 0.5000 0.0000  4 H 2.90, 2 Cd 3.11
3 O 0.0000 0.0000 0.5000  2 Cd 2.05
4 O 0.5000 0.0000 0.0000  2 Cd 2.05
5 Cd 0.0000 0.0000 0.0000  4 O 2.05

---

Entry 5:
# CdTc2HO

A geometry-optimized CdTc2HO structure (GGA-PBE, Alexandria).

Calculated values
- E_tot: -0.149 Ha/atom
- Crystal system: tetragonal
- ρ: 6.059 Mg/m³

a = 5.2042 Å, b = 3.2928 Å, c = 5.2042 Å
α = 90.00°, β = 90.00°, γ = 90.00°
With the nearest neighbours (Å) after each atom.
Element x y z (fractional)
1 Tc 0.5000 0.0000 0.0000  2 Cd 2.60
2 Tc 0.0000 0.0000 0.5000  2 Cd 2.60
3 O 0.5000 0.5000 0.5000  8 Tc 3.08, 2 O 3.29
4 Cd 0.0000 0.0000 0.0000  2 H 1.65
5 H 0.0000 0.5000 0.0000  2 Cd 1.65

---

Entry 6:
# Cd2TeHO6

A geometry-optimized Cd2TeHO6 structure (GGA-PBE, Alexandria).

Calculated values
- E_tot: -0.166 Ha/atom
- Crystal system: monoclinic
- ρ: 6.139 Mg/m³

a = 5.4445 Å, b = 4.4461 Å, c = 10.0444 Å
α = 90.00°, β = 90.30°, γ = 90.00°
With the nearest neighbours (Å) after each atom.
Element x y z (fractional)
1 O 0.3614 0.2024 0.1492  1 Te 1.91
2 O 0.6386 0.7976 0.8508  1 Te 1.91
3 O 0.3378 0.2575 0.8730  1 Te 1.92
4 O 0.6622 0.7425 0.1270  1 Te 1.92
5 O 0.1622 0.7575 0.6270  1 Te 1.92
6 O 0.3447 0.2292 0.5047  1 H 1.32
7 O 0.6553 0.7708 0.4953  1 H 1.32
8 O 0.8447 0.2708 0.0047  1 H 1.32
9 O 0.1386 0.7024 0.3508  1 Te 1.91
10 O 0.8614 0.2976 0.6492  1 Te 1.91
11 O 0.1553 0.7292 0.9953  1 H 1.32
12 O 0.8378 0.2425 0.3730  1 Te 1.92
13 Cd 0.5048 0.5110 0.3096  5 O 2.21-2.34
14 Cd 0.0048 0.9890 0.8096  5 O 2.21-2.34
15 Cd 0.4952 0.4890 0.6904  5 O 2.21-2.34
16 Cd 0.9952 0.0110 0.1904  5 O 2.21-2.34
17 H 0.0000 0.5000 0.0000  2 O 1.32
18 H 0.5000 0.0000 0.5000  2 O 1.32
19 Te 0.0000 0.5000 0.5000  4 O 1.91-1.92
20 Te 0.5000 0.0000 0.0000  4 O 1.91-1.92

---

Entry 7:
# Ti6Cd2HO

A geometry-optimized Ti6Cd2HO structure (GGA-PBE, Alexandria).

Calculated values
- E_tot: -0.234 Ha/atom
- Crystal system: cubic
- ρ: 6.006 Mg/m³

a = 5.9129 Å, b = 5.9129 Å, c = 5.9137 Å
α = 60.02°, β = 60.02°, γ = 90.01°
With the nearest neighbours (Å) after each atom.
Element x y z (fractional)
1 Ti 0.7419 0.7419 0.5163  1 H 2.02, 1 O 2.16
2 Ti 0.2582 0.7418 0.0000  1 H 2.02, 1 O 2.16
3 Ti 0.7418 0.2582 0.0000  1 H 2.02, 1 O 2.16
4 Ti 0.7418 0.7417 0.9998  1 H 2.02, 1 O 2.16
5 Ti 0.2582 0.2583 0.0002  1 H 2.02, 1 O 2.16
6 Ti 0.2581 0.2581 0.4837  1 H 2.02, 1 O 2.16
7 O 0.0000 0.0000 0.0000  6 Ti 2.16
8 Cd 0.2501 0.7499 0.5000  12 Ti 2.96
9 Cd 0.7499 0.2501 0.5000  12 Ti 2.96
10 H 0.5000 0.5000 0.0000  6 Ti 2.02

---

Entry 8:
# Ti2CdHO

A geometry-optimized Ti2CdHO structure (GGA-PBE, Alexandria).

Calculated values
- E_tot: -0.186 Ha/atom
- Crystal system: tetragonal
- ρ: 5.686 Mg/m³

a = 3.8146 Å, b = 4.5184 Å, c = 3.8146 Å
α = 90.00°, β = 90.00°, γ = 90.00°
With the nearest neighbours (Å) after each atom.
Element x y z (fractional)
1 O 0.0000 0.5000 0.0000  2 H 2.26
2 Ti 0.5000 0.0000 0.0000  2 H 1.91
3 Ti 0.0000 0.0000 0.5000  2 H 1.91
4 H 0.0000 0.0000 0.0000  4 Ti 1.91
5 Cd 0.5000 0.5000 0.5000  4 O 2.70, 8 Ti 2.96

---

Entry 9:
# Zr6Cd2HO

A geometry-optimized Zr6Cd2HO structure (GGA-PBE, Alexandria).

Calculated values
- E_tot: -0.250 Ha/atom
- Crystal system: cubic
- ρ: 7.131 Mg/m³

a = 6.3817 Å, b = 6.3816 Å, c = 6.3805 Å
α = 60.02°, β = 60.02°, γ = 90.05°
With the nearest neighbours (Å) after each atom.
Element x y z (fractional)
1 Zr 0.7445 0.2555 0.0000  1 H 2.21, 1 O 2.31
2 Zr 0.2555 0.7445 0.0000  1 H 2.21, 1 O 2.31
3 Zr 0.7447 0.7447 0.9994  1 H 2.20, 1 O 2.31
4 Zr 0.2554 0.2554 0.4888  1 H 2.21, 1 O 2.31
5 Zr 0.7446 0.7446 0.5112  1 H 2.21, 1 O 2.31
6 Zr 0.2553 0.2553 0.0006  1 H 2.20, 1 O 2.31
7 H 0.5000 0.5000 0.0000  6 Zr 2.20-2.21
8 Cd 0.7498 0.2502 0.5000  12 Zr 3.19
9 Cd 0.2502 0.7498 0.5000  12 Zr 3.19
10 O 0.0000 0.0000 0.0000  6 Zr 2.31

---

Entry 10:
# Zr2CdHO

A geometry-optimized Zr2CdHO structure (GGA-PBE, Alexandria).

Calculated values
- E_tot: -0.144 Ha/atom
- Crystal system: tetragonal
- ρ: 4.371 Mg/m³

a = 5.4258 Å, b = 4.0243 Å, c = 5.4258 Å
α = 90.00°, β = 90.00°, γ = 90.00°
With the nearest neighbours (Å) after each atom.
Element x y z (fractional)
1 O 0.0000 0.5000 0.0000  2 Cd 2.01
2 H 0.5000 0.5000 0.5000  8 Zr 3.38
3 Zr 0.5000 0.0000 0.0000  2 Cd 2.71
4 Zr 0.0000 0.0000 0.5000  2 Cd 2.71
5 Cd 0.0000 0.0000 0.0000  2 O 2.01

---

Entry 11:
# Cd2HOs2

A geometry-optimized Cd2HOs2 structure (GGA-PBE, Alexandria).

Calculated values
- E_tot: -0.158 Ha/atom
- Crystal system: tetragonal
- Excess energy over the best structure of this formula in the dataset: 282 meV per atom
- ρ: 10.292 Mg/m³

a = 8.4785 Å, b = 8.4785 Å, c = 2.7215 Å
α = 90.00°, β = 90.00°, γ = 90.00°
With the nearest neighbours (Å) after each atom.
Element x y z (fractional)
1 Os 0.4031 0.0969 0.5000  1 Os 2.32
2 Os 0.0969 0.5969 0.5000  1 Os 2.32
3 Os 0.9031 0.4031 0.5000  1 Os 2.32
4 Os 0.5969 0.9031 0.5000  1 Os 2.32
5 Cd 0.1949 0.3051 0.0000  2 Cd 2.72, 6 Os 2.84-2.94
6 Cd 0.6949 0.1949 0.0000  2 Cd 2.72, 6 Os 2.84-2.94
7 Cd 0.8051 0.6949 0.0000  2 Cd 2.72, 6 Os 2.84-2.94
8 Cd 0.3051 0.8051 0.0000  2 Cd 2.72, 6 Os 2.84-2.94
9 H 0.0000 0.0000 0.0000  2 H 2.72
10 H 0.5000 0.5000 0.0000  2 H 2.72

---

Entry 12:
# CdH2Os

A geometry-optimized CdH2Os structure (GGA-PBE, Alexandria).

Calculated values
- E_tot: -0.153 Ha/atom
- Crystal system: tetragonal
- Excess energy over the best structure of this formula in the dataset: 0 meV per atom
- ρ: 11.638 Mg/m³

a = 4.3351 Å, b = 4.3351 Å, c = 5.5493 Å
α = 67.01°, β = 67.01°, γ = 90.00°
With the nearest neighbours (Å) after each atom.
Element x y z (fractional)
1 H 0.3750 0.2837 0.7500  2 Os 1.73
2 H 0.7163 0.1250 0.2500  2 Os 1.73
3 H 0.0337 0.6250 0.2500  2 Os 1.73
4 H 0.8750 0.9663 0.7500  2 Os 1.73
5 Os 0.0000 0.0000 0.0000  4 H 1.73
6 Os 0.7500 0.2500 0.5000  4 H 1.73
7 Cd 0.5000 0.5000 0.0000  4 H 2.17
8 Cd 0.2500 0.7500 0.5000  4 H 2.17

---

Entry 13:
# CdHOs3

A geometry-optimized CdHOs3 structure (GGA-PBE, Alexandria).

Calculated values
- E_tot: -0.250 Ha/atom
- Crystal system: cubic
- Excess energy over the best structure of this formula in the dataset: 0 meV per atom
- ρ: 17.508 Mg/m³

a = 4.0183 Å, b = 4.0183 Å, c = 4.0183 Å
α = 90.00°, β = 90.00°, γ = 90.00°
With the nearest neighbours (Å) after each atom.
Element x y z (fractional)
1 H 0.0000 0.0000 0.0000  6 Os 2.01
2 Os 0.5000 0.0000 0.0000  2 H 2.01
3 Os 0.0000 0.5000 0.0000  2 H 2.01
4 Os 0.0000 0.0000 0.5000  2 H 2.01
5 Cd 0.5000 0.5000 0.5000  12 Os 2.84

---

Entry 14:
# CdHOs3

A geometry-optimized CdHOs3 structure (GGA-PBE, Alexandria).

Calculated values
- E_tot: -0.140 Ha/atom
- Crystal system: cubic
- Excess energy over the best structure of this formula in the dataset: 3005 meV per atom
- ρ: 9.314 Mg/m³

a = 4.9592 Å, b = 4.9592 Å, c = 4.9592 Å
α = 90.00°, β = 90.00°, γ = 90.00°
With the nearest neighbours (Å) after each atom.
Element x y z (fractional)
1 Os 0.5000 0.0000 0.0000  2 Cd 2.48
2 Os 0.0000 0.5000 0.0000  2 Cd 2.48
3 Os 0.0000 0.0000 0.5000  2 Cd 2.48
4 H 0.5000 0.5000 0.5000  12 Os 3.51
5 Cd 0.0000 0.0000 0.0000  6 Os 2.48

---

Entry 15:
# CdH2Os

A geometry-optimized CdH2Os structure (GGA-PBE, Alexandria).

Calculated values
- E_tot: -0.130 Ha/atom
- Crystal system: cubic
- Excess energy over the best structure of this formula in the dataset: 627 meV per atom
- ρ: 12.185 Mg/m³

a = 3.8868 Å, b = 3.8868 Å, c = 3.8868 Å
α = 60.00°, β = 60.00°, γ = 60.00°
With the nearest neighbours (Å) after each atom.
Element x y z (fractional)
1 Os 0.5000 0.5000 0.5000  8 H 2.38
2 Cd 0.0000 0.0000 0.0000  8 H 2.38
3 H 0.2500 0.2500 0.2500  4 Cd 2.38, 4 Os 2.38
4 H 0.7500 0.7500 0.7500  4 Cd 2.38, 4 Os 2.38

---

Entry 16:
# CdH3Os

A geometry-optimized CdH3Os structure (GGA-PBE, Alexandria).

Calculated values
- E_tot: -0.151 Ha/atom
- Crystal system: cubic
- ρ: 11.131 Mg/m³

a = 3.5726 Å, b = 3.5726 Å, c = 3.5726 Å
α = 90.00°, β = 90.00°, γ = 90.00°
With the nearest neighbours (Å) after each atom.
Element x y z (fractional)
1 Os 0.0000 0.0000 0.0000  6 H 1.79
2 Cd 0.5000 0.5000 0.5000  12 H 2.53
3 H 0.0000 0.0000 0.5000  2 Os 1.79
4 H 0.5000 0.0000 0.0000  2 Os 1.79
5 H 0.0000 0.5000 0.0000  2 Os 1.79

---

Entry 17:
# Cd2HOs2

A geometry-optimized Cd2HOs2 structure (GGA-PBE, Alexandria).

Calculated values
- E_tot: -0.168 Ha/atom
- Crystal system: tetragonal
- Excess energy over the best structure of this formula in the dataset: 0 meV per atom
- ρ: 10.879 Mg/m³

a = 3.5188 Å, b = 3.5188 Å, c = 7.8772 Å
α = 77.09°, β = 77.09°, γ = 90.00°
With the nearest neighbours (Å) after each atom.
Element x y z (fractional)
1 Cd 0.4093 0.4093 0.1814  1 Cd 2.71, 4 H 2.83, 4 Os 2.96
2 Cd 0.5907 0.5907 0.8186  1 Cd 2.71, 4 H 2.83, 4 Os 2.96
3 H 0.0000 0.0000 0.0000  8 Cd 2.83
4 Os 0.7500 0.2500 0.5000  4 Os 2.49
5 Os 0.2500 0.7500 0.5000  4 Os 2.49

---

Entry 18:
# Sr2CdH6Os

A geometry-optimized Sr2CdH6Os structure (GGA-PBE, Alexandria).

Calculated values
- E_tot: -0.144 Ha/atom
- Crystal system: trigonal
- ρ: 4.710 Mg/m³

a = 7.5219 Å, b = 5.1175 Å, c = 5.1175 Å
α = 120.00°, β = 90.00°, γ = 90.00°
With the nearest neighbours (Å) after each atom.
Element x y z (fractional)
1 H 0.8690 0.1605 0.8395  1 Os 1.73
2 H 0.8690 0.6789 0.8395  1 Os 1.73
3 H 0.1310 0.3211 0.1605  1 Os 1.73
4 H 0.8690 0.1605 0.3211  1 Os 1.73
5 H 0.1310 0.8395 0.1605  1 Os 1.73
6 H 0.1310 0.8395 0.6789  1 Os 1.73
7 Cd 0.5000 0.0000 0.0000  6 H 3.12
8 Sr 0.1602 0.3333 0.6667  9 H 2.57-2.67
9 Sr 0.8398 0.6667 0.3333  9 H 2.57-2.67
10 Os 0.0000 0.0000 0.0000  6 H 1.73

---

Entry 19:
# CdTc2HOs

A geometry-optimized CdTc2HOs structure (GGA-PBE, Alexandria).

Calculated values
- E_tot: -0.247 Ha/atom
- Crystal system: tetragonal
- ρ: 12.784 Mg/m³

a = 4.0284 Å, b = 3.9992 Å, c = 4.0284 Å
α = 90.00°, β = 90.00°, γ = 90.00°
With the nearest neighbours (Å) after each atom.
Element x y z (fractional)
1 Cd 0.5000 0.5000 0.5000  8 Tc 2.84, 4 Os 2.85
2 Tc 0.5000 0.0000 0.0000  2 H 2.01
3 Tc 0.0000 0.0000 0.5000  2 H 2.01
4 H 0.0000 0.0000 0.0000  2 Os 2.00, 4 Tc 2.01
5 Os 0.0000 0.5000 0.0000  2 H 2.00

---

Entry 20:
# Ti2CdHOs

A geometry-optimized Ti2CdHOs structure (GGA-PBE, Alexandria).

Calculated values
- E_tot: -0.194 Ha/atom
- Crystal system: tetragonal
- ρ: 5.703 Mg/m³

a = 4.6834 Å, b = 5.3014 Å, c = 4.6834 Å
α = 90.00°, β = 90.00°, γ = 90.00°
With the nearest neighbours (Å) after each atom.
Element x y z (fractional)
1 H 0.5000 0.5000 0.5000  4 Cd 3.31, 8 Ti 3.54
2 Cd 0.0000 0.5000 0.0000  2 Os 2.65
3 Os 0.0000 0.0000 0.0000  4 Ti 2.34
4 Ti 0.0000 0.0000 0.5000  2 Os 2.34
5 Ti 0.5000 0.0000 0.0000  2 Os 2.34